DFT (GGA-PBE) results for an optimized crystal structure of Ta2SiN.

a = 4.2641 Å, b = 4.2641 Å, c = 4.2641 Å
α = 60.00°, β = 60.00°, γ = 60.00°
Atoms (fractional coordinates):
Ta 0.2500 0.2500 0.2500
Ta 0.7500 0.7500 0.7500
Si 0.0000 0.0000 0.0000
N 0.5000 0.5000 0.5000

## Properties
E_tot: -36.41 eV for the cell shown
Formation energy without anion corrections: 0.262 eV/atom